First-principles (GGA-PBE) data for crystalline CoTc at its relaxed geometry, as listed in the Open Quantum Materials Database.

Output
M_tot in Bohr magnetons per cell: 0.1
Symmetry: P4/mmm, No. 123
Distance to the lowest polymorph of the same formula in meV/atom: 191

```
CoTc
1.0
2.5922 0.0000 0.0000
0.0000 2.5922 0.0000
0.0000 0.0000 3.7044
Co Tc
1 1
direct
0.0000 0.0000 0.0000
0.5000 0.5000 0.5000
```

---

First-principles (GGA-PBE) data for crystalline CsFe3Bi5 at its relaxed geometry, as listed in the Open Quantum Materials Database.

Output
M_tot in Bohr magnetons per cell: 7.3
Symmetry: P6/mmm, No. 191
Uncorrected energy in eV/atom: -5.063

```
CsFe3Bi5
1.0
5.6227 0.0000 0.0000
-2.8113 4.8694 0.0000
0.0000 0.0000 9.6025
Cs Fe Bi
1 3 5
direct
0.0000 0.0000 0.0000
0.0000 0.5000 0.5000
0.5000 0.0000 0.5000
0.5000 0.5000 0.5000
0.0000 0.0000 0.5000
0.3333 0.6667 0.2615
0.3333 0.6667 0.7385
0.6667 0.3333 0.2615
0.6667 0.3333 0.7385
```

---

First-principles (GGA-PBE) data for crystalline SmTmU at its relaxed geometry, as listed in the Open Quantum Materials Database.

Output
M_tot in Bohr magnetons per cell: 3.5
Symmetry: F-43m, No. 216
Distance to the lowest polymorph of the same formula in meV/atom: 0

```
SmTmU
1.0
0.0000 3.7131 3.7131
3.7131 0.0000 3.7131
3.7131 3.7131 0.0000
Sm Tm U
1 1 1
direct
0.0000 0.0000 0.0000
0.2500 0.2500 0.2500
0.5000 0.5000 0.5000
```

---

First-principles (GGA-PBE) data for crystalline Ac2La at its relaxed geometry, as listed in the Open Quantum Materials Database.

Output
M_tot in Bohr magnetons per cell: 0.2
Symmetry: Fd-3m, No. 227
Uncorrected energy in eV/atom: -2.398

```
Ac2La
1.0
0.0000 6.9776 6.9776
6.9776 0.0000 6.9776
6.9776 6.9776 0.0000
Ac La
4 2
direct
0.0000 0.0000 0.0000
0.0000 0.0000 0.5000
0.0000 0.5000 0.0000
0.5000 0.0000 0.0000
0.1250 0.1250 0.1250
0.8750 0.8750 0.8750
```

---

First-principles (GGA-PBE) data for crystalline Pr3Ge13Os4 at its relaxed geometry, as listed in the Open Quantum Materials Database.

Output
M_tot in Bohr magnetons per cell: 0.0
Symmetry: Pm-3n, No. 223
Uncorrected energy in eV/atom: -6.289

```
Pr3Ge13Os4
1.0
9.1827 0.0000 0.0000
0.0000 9.1827 0.0000
0.0000 0.0000 9.1827
Pr Ge Os
6 26 8
direct
0.0000 0.2500 0.5000
0.0000 0.7500 0.5000
0.2500 0.5000 0.0000
0.5000 0.0000 0.2500
0.5000 0.0000 0.7500
0.7500 0.5000 0.0000
0.0000 0.0000 0.0000
0.0000 0.2934 0.1455
0.0000 0.2934 0.8545
0.0000 0.7066 0.1455
0.0000 0.7066 0.8545
0.1455 0.0000 0.2934
0.1455 0.0000 0.7066
0.2066 0.5000 0.3545
0.2066 0.5000 0.6455
0.2934 0.1455 0.0000
0.2934 0.8545 0.0000
0.3545 0.2066 0.5000
0.3545 0.7934 0.5000
0.5000 0.3545 0.2066
0.5000 0.3545 0.7934
0.5000 0.5000 0.5000
0.5000 0.6455 0.2066
0.5000 0.6455 0.7934
0.6455 0.2066 0.5000
0.6455 0.7934 0.5000
0.7066 0.1455 0.0000
0.7066 0.8545 0.0000
0.7934 0.5000 0.3545
0.7934 0.5000 0.6455
0.8545 0.0000 0.2934
0.8545 0.0000 0.7066
0.2500 0.2500 0.2500
0.2500 0.2500 0.7500
0.2500 0.7500 0.2500
0.2500 0.7500 0.7500
0.7500 0.2500 0.2500
0.7500 0.2500 0.7500
0.7500 0.7500 0.2500
0.7500 0.7500 0.7500
```

---

First-principles (GGA-PBE) data for crystalline CsU at its relaxed geometry, as listed in the Open Quantum Materials Database.

Output
M_tot in Bohr magnetons per cell: 5.6
Symmetry: F-43m, No. 216
Distance to the lowest polymorph of the same formula in meV/atom: 1455

```
CsU
1.0
0.0000 4.1222 4.1222
4.1222 0.0000 4.1222
4.1222 4.1222 0.0000
Cs U
1 1
direct
0.0000 0.0000 0.0000
0.7500 0.7500 0.7500
```

---

First-principles (GGA-PBE) data for crystalline Rb2PrErO4 at its relaxed geometry, as listed in the Open Quantum Materials Database.

Output
M_tot in Bohr magnetons per cell: 0.0
Symmetry: P-3m1, No. 164
Uncorrected energy in eV/atom: -6.483

```
Rb2PrErO4
1.0
3.5489 0.0000 0.0000
-1.7745 3.0735 0.0000
0.0000 0.0000 12.9666
Rb Pr Er O
2 1 1 4
direct
0.3333 0.6667 0.2551
0.6667 0.3333 0.7449
0.0000 0.0000 0.0000
0.0000 0.0000 0.5000
0.3333 0.6667 0.5844
0.3333 0.6667 0.9030
0.6667 0.3333 0.0970
0.6667 0.3333 0.4156
```

---

First-principles (GGA-PBE) data for crystalline TbCdPt at its relaxed geometry, as listed in the Open Quantum Materials Database.

Output
M_tot in Bohr magnetons per cell: 0.0
Symmetry: F-43m, No. 216
Uncorrected energy in eV/atom: -4.647

```
TbCdPt
1.0
0.0000 3.3355 3.3355
3.3355 0.0000 3.3355
3.3355 3.3355 0.0000
Tb Cd Pt
1 1 1
direct
0.0000 0.0000 0.0000
0.5000 0.5000 0.5000
0.7500 0.7500 0.7500
```

---

First-principles (GGA-PBE) data for crystalline NaLuMgTe3 at its relaxed geometry, as listed in the Open Quantum Materials Database.

Output
M_tot in Bohr magnetons per cell: 0.0
Symmetry: P2_1/m, No. 11
Uncorrected energy in eV/atom: -3.878

```
NaLuMgTe3
1.0
8.6747 0.0000 0.0000
0.0000 4.3780 0.0000
-2.7386 0.0000 10.1776
Na Lu Mg Te
2 2 2 6
direct
0.2184 0.2500 0.2512
0.7816 0.7500 0.7488
0.3254 0.7500 0.8609
0.6746 0.2500 0.1391
0.0845 0.2500 0.6071
0.9155 0.7500 0.3929
0.0809 0.2500 0.8651
0.2463 0.7500 0.5388
0.4385 0.7500 0.1561
0.5615 0.2500 0.8439
0.7537 0.2500 0.4612
0.9191 0.7500 0.1349
```

---

First-principles (GGA-PBE) data for crystalline Na2MgCdIn2Pd2 at its relaxed geometry, as listed in the Open Quantum Materials Database.

Output
Symmetry: P-4m2, No. 115
Uncorrected energy in eV/atom: -2.894

```
Na2MgCdIn2Pd2
1.0
4.7958 0.0000 0.0000
0.0000 4.7958 0.0000
0.0000 0.0000 6.7929
Na Mg Cd In Pd
2 1 1 2 2
direct
0.0000 0.5000 0.2478
0.5000 0.0000 0.7522
0.0000 0.0000 0.5000
0.5000 0.5000 0.0000
0.0000 0.0000 0.0000
0.5000 0.5000 0.5000
0.0000 0.5000 0.7413
0.5000 0.0000 0.2587
```

---

First-principles (GGA-PBE) data for crystalline Lu4CuGeC2 at its relaxed geometry, as listed in the Open Quantum Materials Database.

Output
M_tot in Bohr magnetons per cell: 0.0
Symmetry: P-6m2, No. 187
Uncorrected energy in eV/atom: -6.017

```
Lu4CuGeC2
1.0
3.5285 0.0000 0.0000
-1.7643 3.0558 0.0000
0.0000 0.0000 13.8557
Lu Cu Ge C
4 1 1 2
direct
0.0000 0.0000 0.1506
0.0000 0.0000 0.8494
0.3333 0.6667 0.3380
0.3333 0.6667 0.6620
0.3333 0.6667 0.0000
0.0000 0.0000 0.5000
0.6667 0.3333 0.2410
0.6667 0.3333 0.7590
```

---

First-principles (GGA-PBE) data for crystalline TmPOsO at its relaxed geometry, as listed in the Open Quantum Materials Database.

Output
M_tot in Bohr magnetons per cell: 0.0
Symmetry: Pmc2_1, No. 26
Distance to the lowest polymorph of the same formula in meV/atom: 735

```
TmPOsO
1.0
3.2227 0.0000 0.0000
0.0000 7.7106 0.0000
0.0000 0.0000 5.1348
Tm P Os O
2 2 2 2
direct
0.0000 0.2124 0.0000
0.0000 0.7876 0.5000
0.0000 0.4158 0.4950
0.0000 0.5842 0.9950
0.5000 0.2104 0.5046
0.5000 0.7896 0.0046
0.5000 0.0482 0.8619
0.5000 0.9518 0.3619
```

---

Q: Number 11 is which compound?
A: Lu4CuGeC2

---

Please write out number 11 again, unchanged.
First-principles (GGA-PBE) data for crystalline Lu4CuGeC2 at its relaxed geometry, as listed in the Open Quantum Materials Database.

Output
M_tot in Bohr magnetons per cell: 0.0
Symmetry: P-6m2, No. 187
Uncorrected energy in eV/atom: -6.017

```
Lu4CuGeC2
1.0
3.5285 0.0000 0.0000
-1.7643 3.0558 0.0000
0.0000 0.0000 13.8557
Lu Cu Ge C
4 1 1 2
direct
0.0000 0.0000 0.1506
0.0000 0.0000 0.8494
0.3333 0.6667 0.3380
0.3333 0.6667 0.6620
0.3333 0.6667 0.0000
0.0000 0.0000 0.5000
0.6667 0.3333 0.2410
0.6667 0.3333 0.7590
```